Entry 1:
# MnHg4Sb

A geometry-optimized MnHg4Sb structure (GGA-PBEsol, Alexandria via LeMat-Bulk). Values from VASP.

```
&SYSTEM
  ibrav = 0, nat = 6, ntyp = 3
/
ATOMIC_SPECIES
Hg 200.59 Hg.upf
Mn 54.94 Mn.upf
Sb 121.76 Sb.upf
ATOMIC_POSITIONS crystal
Hg 0.3752 0.3752 0.3752
Hg 0.3752 0.3752 0.8743
Hg 0.8743 0.3752 0.3752
Hg 0.3752 0.8743 0.3752
Mn 0.7500 0.7500 0.7500
Sb 0.0000 0.0000 0.0000
CELL_PARAMETERS angstrom
-2.5824 4.8635 -1.7751
-0.6472 1.0334 -5.6557
-5.2600 -0.2272 -2.3989
```

Results
For the volume, the calculation gives 22.824 A^3/atom. Its space group is No. 216. The value obtained for the uncorrected formation energy is 0.469 eV per atom.

Entry 2:
# LaCu2

A geometry-optimized LaCu2 structure (GGA-PBEsol, Alexandria via LeMat-Bulk). Values from VASP.

```
&SYSTEM
  ibrav = 0, nat = 6, ntyp = 2
/
ATOMIC_SPECIES
Cu 63.55 Cu.upf
La 138.91 La.upf
ATOMIC_POSITIONS crystal
Cu 0.4194 0.4194 0.8387
Cu 0.8306 0.3306 0.6613
Cu 0.5806 0.5806 0.1613
Cu 0.6694 0.1694 0.3387
La 0.0000 0.0000 0.0000
La 0.2500 0.7500 0.5000
CELL_PARAMETERS angstrom
3.9674 0.0000 0.0000
0.0000 3.9674 0.0000
-1.9837 -1.9837 7.6253
```

Results
For the volume, the calculation gives 20.004 A^3/atom. The calculated formation energy comes out at -0.4 eV/f.u. Its space group is No. 141.

Entry 3:
# TlSi2Se

A geometry-optimized TlSi2Se structure (GGA-PBEsol, Alexandria via LeMat-Bulk). Values from VASP.

```
&SYSTEM
  ibrav = 0, nat = 4, ntyp = 3
/
ATOMIC_SPECIES
Se 78.96 Se.upf
Si 28.09 Si.upf
Tl 204.38 Tl.upf
ATOMIC_POSITIONS crystal
Se 0.2781 0.2781 0.1657
Si 0.0023 0.0023 0.9931
Si 0.7304 0.7304 0.8087
Tl 0.4892 0.4892 0.5324
CELL_PARAMETERS angstrom
3.4120 0.0000 0.0000
1.7060 2.9549 0.0000
1.7060 0.9850 8.5664
```

Results
For the volume, the calculation gives 21.592 A^3/atom. Its space group is No. 160. Its energy relative to the lowest polymorph listed for this composition is 0.000 eV per atom. The value obtained for the uncorrected formation energy is 0.105 eV per atom.

Entry 4:
# NaPrPCO7

A geometry-optimized NaPrPCO7 structure (GGA-PBEsol, Alexandria via LeMat-Bulk). Values from VASP.

```
&SYSTEM
  ibrav = 0, nat = 22, ntyp = 5
/
ATOMIC_SPECIES
Na 22.99 Na.upf
Pr 140.91 Pr.upf
P 30.97 P.upf
C 12.01 C.upf
O 16.00 O.upf
ATOMIC_POSITIONS crystal
Na 0.1965 0.5766 0.7796
Na 0.8035 0.0766 0.2204
Pr 0.7726 0.2015 0.6419
Pr 0.2274 0.7015 0.3581
P 0.6829 0.7085 0.5775
P 0.3171 0.2085 0.4225
C 0.7132 0.2971 0.9290
C 0.2868 0.7971 0.0710
O 0.3177 0.7728 0.9485
O 0.9528 0.3079 0.8756
O 0.5084 0.3083 0.8459
O 0.7918 0.8811 0.6510
O 0.8076 0.5309 0.6391
O 0.2522 0.2184 0.5752
O 0.3636 0.6990 0.5824
O 0.6364 0.1990 0.4176
O 0.7478 0.7184 0.4248
O 0.1924 0.0309 0.3609
O 0.2082 0.3811 0.3490
O 0.4916 0.8083 0.1541
O 0.0472 0.8079 0.1244
O 0.6823 0.2728 0.0515
CELL_PARAMETERS angstrom
4.8495 0.0000 -0.0053
0.0000 7.1797 0.0000
-0.1364 0.0000 10.0674
```

Results
For the volume, the calculation gives 15.933 A^3/atom. Its space group is No. 4. The value obtained for the uncorrected formation energy is -2.146 eV per atom.

Entry 5:
# Li7NbS6

A geometry-optimized Li7NbS6 structure (GGA-PBEsol, Alexandria via LeMat-Bulk). Values from VASP.

```
&SYSTEM
  ibrav = 0, nat = 28, ntyp = 3
/
ATOMIC_SPECIES
Li 6.94 Li.upf
Nb 92.91 Nb.upf
S 32.06 S.upf
ATOMIC_POSITIONS crystal
Li 0.8275 0.9035 0.3002
Li 0.0688 0.5293 0.3632
Li 0.8011 0.1698 0.0270
Li 0.9350 0.1354 0.4805
Li 0.7462 0.9347 0.6993
Li 0.6718 0.6143 0.5779
Li 0.6196 0.3665 0.2137
Li 0.3275 0.0965 0.8002
Li 0.5688 0.4707 0.8632
Li 0.3011 0.8302 0.5270
Li 0.4350 0.8646 0.9805
Li 0.2462 0.0653 0.1993
Li 0.1718 0.3857 0.0779
Li 0.1196 0.6335 0.7137
Nb 0.9397 0.7266 0.0095
Nb 0.4397 0.2734 0.5095
S 0.9505 0.2351 0.2471
S 0.9534 0.7865 0.5158
S 0.9843 0.9746 0.8695
S 0.6594 0.7283 0.1276
S 0.6846 0.2764 0.6559
S 0.4486 0.5480 0.3941
S 0.4534 0.2135 0.0158
S 0.4843 0.0254 0.3695
S 0.4505 0.7649 0.7471
S 0.1846 0.7236 0.1559
S 0.1594 0.2717 0.6276
S 0.9486 0.4520 0.8941
CELL_PARAMETERS angstrom
6.9444 0.0000 0.1575
0.0000 7.0908 0.0000
0.0086 0.0000 10.0887
```

Results
For the volume, the calculation gives 17.742 A^3/atom. Its space group is No. 7. Its energy relative to the lowest polymorph listed for this composition is 0.000 eV per atom. The value obtained for the uncorrected formation energy is -1.177 eV per atom.

Entry 6:
# Y2TcHg

A geometry-optimized Y2TcHg structure (GGA-PBEsol, Alexandria via LeMat-Bulk). Values from VASP.

```
&SYSTEM
  ibrav = 0, nat = 4, ntyp = 3
/
ATOMIC_SPECIES
Hg 200.59 Hg.upf
Tc 98.00 Tc.upf
Y 88.91 Y.upf
ATOMIC_POSITIONS crystal
Hg 0.0000 0.0000 0.4902
Tc 0.5000 0.5000 0.7804
Y 0.0000 0.0000 0.9478
Y 0.5000 0.5000 0.2816
CELL_PARAMETERS angstrom
3.8220 0.0000 0.0000
0.0000 3.8220 0.0000
0.0000 0.0000 6.1851
```

Results
For the volume, the calculation gives 22.587 A^3/atom. The calculated formation energy comes out at 0.4 eV/f.u. Its space group is No. 99.

Entry 7:
# Sr3SmFe2O8

A geometry-optimized Sr3SmFe2O8 structure (GGA-PBEsol, Alexandria via LeMat-Bulk). Values from VASP.

```
&SYSTEM
  ibrav = 0, nat = 14, ntyp = 4
/
ATOMIC_SPECIES
Sr 87.62 Sr.upf
Sm 150.36 Sm.upf
Fe 55.84 Fe.upf
O 16.00 O.upf
ATOMIC_POSITIONS crystal
Sr 0.6456 0.0000 0.2913
Sr 0.3574 0.0000 0.7148
Sr 0.8551 0.5000 0.7102
Sm 0.1375 0.5000 0.2751
Fe 0.5005 0.5000 0.0010
Fe 0.9996 0.0000 0.9991
O 0.8437 0.0000 0.6873
O 0.3247 0.5000 0.6494
O 0.6604 0.5000 0.3208
O 0.1600 0.0000 0.3200
O 0.7583 0.7453 0.0078
O 0.2495 0.2547 0.0078
O 0.2495 0.7453 0.0078
O 0.7583 0.2547 0.0078
CELL_PARAMETERS angstrom
5.3016 0.0000 0.0000
0.0000 5.3016 0.0000
-2.6508 0.0000 6.1721
```

Results
For the volume, the calculation gives 12.391 A^3/atom. Its space group is No. 38. The value obtained for the uncorrected formation energy is -2.434 eV per atom.

Entry 8:
# Zr2FeOs

A geometry-optimized Zr2FeOs structure (GGA-PBEsol, Alexandria via LeMat-Bulk). Values from VASP.

```
&SYSTEM
  ibrav = 0, nat = 4, ntyp = 3
/
ATOMIC_SPECIES
Fe 55.84 Fe.upf
Os 190.23 Os.upf
Zr 91.22 Zr.upf
ATOMIC_POSITIONS crystal
Fe 0.5000 0.5000 0.5000
Os 0.0000 0.0000 0.0000
Zr 0.2456 0.2456 0.2631
Zr 0.7544 0.7544 0.7369
CELL_PARAMETERS angstrom
-0.1672 -2.2616 -2.1239
2.1341 -0.1780 -2.2511
5.1778 -5.5234 3.2011
```

Results
For the volume, the calculation gives 16.766 A^3/atom. The calculated formation energy comes out at 0.4 eV/f.u. Its space group is No. 166.

Entry 9:
# TlCuRu2

A geometry-optimized TlCuRu2 structure (GGA-PBEsol, Alexandria via LeMat-Bulk). Values from VASP.

```
&SYSTEM
  ibrav = 0, nat = 4, ntyp = 3
/
ATOMIC_SPECIES
Cu 63.55 Cu.upf
Ru 101.07 Ru.upf
Tl 204.38 Tl.upf
ATOMIC_POSITIONS crystal
Cu 0.5000 0.5000 0.7762
Ru 0.0001 0.0000 0.0076
Ru 0.5001 0.5000 0.2044
Tl 0.9998 0.0000 0.5118
CELL_PARAMETERS angstrom
2.8207 0.0000 0.0307
0.0000 3.5830 0.0000
-0.0649 0.0000 5.9897
```

Results
For the volume, the calculation gives 15.136 A^3/atom. The calculated formation energy comes out at 1.6 eV/f.u. Its space group is No. 25. Its energy relative to the lowest polymorph listed for this composition is 0.000 eV per atom.

Entry 10:
# AlF3

A geometry-optimized AlF3 structure (GGA-PBEsol, Alexandria via LeMat-Bulk). Values from VASP.

```
&SYSTEM
  ibrav = 0, nat = 64, ntyp = 2
/
ATOMIC_SPECIES
Al 26.98 Al.upf
F 19.00 F.upf
ATOMIC_POSITIONS crystal
Al 0.0000 0.2500 0.7500
Al 0.0000 0.7500 0.2500
Al 0.0000 0.7500 0.7500
Al 0.0000 0.2500 0.2500
Al 0.9093 0.5000 0.0000
Al 0.0907 0.0000 0.5000
Al 0.4122 0.5000 0.0000
Al 0.5878 0.0000 0.5000
Al 0.3287 0.5000 0.6635
Al 0.3287 0.5000 0.3365
Al 0.3287 0.8365 0.0000
Al 0.3287 0.1635 0.0000
Al 0.6713 0.0000 0.1635
Al 0.6713 0.0000 0.8365
Al 0.6713 0.6635 0.5000
Al 0.6713 0.3365 0.5000
F 0.9086 0.3713 0.8713
F 0.9086 0.6287 0.1287
F 0.9086 0.6287 0.8713
F 0.9086 0.3713 0.1287
F 0.0914 0.1287 0.3713
F 0.0914 0.8713 0.6287
F 0.0914 0.8713 0.3713
F 0.0914 0.1287 0.6287
F 0.1626 0.3724 0.6983
F 0.1626 0.6276 0.3017
F 0.1626 0.8017 0.8724
F 0.1626 0.1983 0.1276
F 0.8374 0.1276 0.1983
F 0.8374 0.8724 0.8017
F 0.8374 0.6983 0.3724
F 0.8374 0.3017 0.6276
F 0.8374 0.1276 0.8017
F 0.8374 0.8724 0.1983
F 0.8374 0.6983 0.6276
F 0.8374 0.3017 0.3724
F 0.1626 0.3724 0.3017
F 0.1626 0.6276 0.6983
F 0.1626 0.8017 0.1276
F 0.1626 0.1983 0.8724
F 0.1583 0.5000 0.0000
F 0.8417 0.0000 0.5000
F 0.6623 0.5000 0.0000
F 0.3377 0.0000 0.5000
F 0.4114 0.5000 0.8263
F 0.4114 0.5000 0.1737
F 0.4114 0.6737 0.0000
F 0.4114 0.3263 0.0000
F 0.5886 0.0000 0.3263
F 0.5886 0.0000 0.6737
F 0.5886 0.8263 0.5000
F 0.5886 0.1737 0.5000
F 0.5000 0.3764 0.6236
F 0.5000 0.6236 0.3764
F 0.5000 0.8764 0.8764
F 0.5000 0.1236 0.1236
F 0.5000 0.1236 0.8764
F 0.5000 0.8764 0.1236
F 0.5000 0.6236 0.6236
F 0.5000 0.3764 0.3764
F 0.2441 0.5000 0.5000
F 0.2441 0.0000 0.0000
F 0.7559 0.0000 0.0000
F 0.7559 0.5000 0.5000
CELL_PARAMETERS angstrom
-6.5435 1.3156 -2.7108
-4.2677 -4.7101 8.0158
-0.3085 8.8869 5.0576
```

Results
For the volume, the calculation gives 11.780 A^3/atom. Its space group is No. 129. The value obtained for the uncorrected formation energy is -3.570 eV per atom.

Entry 11:
# BeHgI3

A geometry-optimized BeHgI3 structure (GGA-PBEsol, Alexandria via LeMat-Bulk). Values from VASP.

```
&SYSTEM
  ibrav = 0, nat = 5, ntyp = 3
/
ATOMIC_SPECIES
I 126.90 I.upf
Be 9.01 Be.upf
Hg 200.59 Hg.upf
ATOMIC_POSITIONS crystal
I 0.0000 0.5000 0.0000
I 0.0000 0.0000 0.5000
I 0.5000 0.0000 0.0000
Be 0.5000 0.5000 0.5000
Hg 0.0000 0.0000 0.0000
CELL_PARAMETERS angstrom
-3.3256 -3.8128 2.7233
1.1464 -3.9001 -4.0606
4.5431 -1.8068 3.0181
```

Results
For the volume, the calculation gives 37.937 A^3/atom. Its space group is No. 221. The value obtained for the uncorrected formation energy is 0.657 eV per atom.

Entry 12:
# HgP2Pb

A geometry-optimized HgP2Pb structure (GGA-PBEsol, Alexandria via LeMat-Bulk). Values from VASP.

```
&SYSTEM
  ibrav = 0, nat = 4, ntyp = 3
/
ATOMIC_SPECIES
Hg 200.59 Hg.upf
P 30.97 P.upf
Pb 207.20 Pb.upf
ATOMIC_POSITIONS crystal
Hg 0.5000 0.0000 0.0000
P 0.0000 0.0000 0.5000
P 0.0000 0.5000 0.0000
Pb 0.5000 0.5000 0.5000
CELL_PARAMETERS angstrom
-1.4813 1.5425 -4.3048
4.2195 -2.2694 -0.4116
-3.1829 -3.1008 1.8377
```

Results
For the volume, the calculation gives 21.387 A^3/atom. The calculated formation energy comes out at 1.6 eV/f.u. Its space group is No. 139. Its energy relative to the lowest polymorph listed for this composition is 0.161 eV per atom.